This record from the Alexandria database describes a geometry-optimized RbAl3B structure. The functional is PBE.

The calculation puts the total magnetic moment at 0.0 μB/f.u. For the energy above the most stable polymorph in this dataset, the calculation gives 0.00 eV per formula unit. The calculation puts the total energy at -3.0194 eV/atom. Its formation energy is 0.7552 eV/atom.

It has space group Pm-3m (No. 221), with a = 4.742 Å, b = 4.742 Å, c = 4.742 Å, α = 90.00°, β = 90.00° and γ = 90.00°. Symmetry generates all atoms from Rb at (0.000, 0.000, 0.000), Al at (0.000, 0.500, 0.500) and B at (0.500, 0.500, 0.500).